# 1
{"formula": "TbPa3Tc4", "functional": "GGA-PBE", "state": "relaxed", "cell": [[-1.902, -3.990, 2.133], [-0.261, -4.224, -2.487], [6.421, -4.732, 2.520]], "species": ["Tc", "Tc", "Tc", "Tc", "Pa", "Pa", "Pa", "Tb"], "fractional_positions": [[0.868, 0.868, 0.396], [0.612, 0.612, 0.165], [0.132, 0.132, 0.604], [0.388, 0.388, 0.835], [0.748, 0.748, 0.756], [0.500, 0.500, 0.500], [0.252, 0.252, 0.244], [0.000, 0.000, 0.000]], "space_group": "R-3m (166)", "ef_ev_per_fu": -1.5, "energy_ev_per_atom": -9.51}


# 2
{"formula": "Ac2NbSnN5", "functional": "GGA-PBE", "state": "relaxed", "cell": [[3.441, 0.000, 0.000], [-1.720, 7.546, 0.000], [0.000, 0.000, 10.928]], "species": ["Sn", "Sn", "N", "N", "N", "N", "N", "N", "N", "N", "N", "N", "Nb", "Nb", "Ac", "Ac", "Ac", "Ac"], "fractional_positions": [[0.450, 0.899, 0.460], [0.550, 0.101, 0.960], [0.688, 0.377, 0.881], [0.951, 0.901, 0.564], [0.348, 0.697, 0.999], [0.312, 0.623, 0.381], [0.717, 0.434, 0.134], [0.652, 0.303, 0.499], [0.497, 0.994, 0.787], [0.503, 0.006, 0.287], [0.049, 0.099, 0.064], [0.283, 0.566, 0.634], [0.776, 0.551, 0.513], [0.224, 0.449, 0.013], [0.112, 0.224, 0.690], [0.869, 0.738, 0.795], [0.888, 0.776, 0.190], [0.131, 0.262, 0.295]], "space_group": "Cmc2_1 (36)", "e_form_raw_mev_per_atom": -737, "energy_ev_per_atom": -7.84}


# 3
{"formula": "ScTi3Hg", "functional": "GGA-PBE", "state": "relaxed", "cell": [[-1.435, -4.591, -1.444], [4.078, -0.361, -2.908], [2.555, -2.004, 3.831]], "species": ["Ti", "Ti", "Ti", "Sc", "Hg"], "fractional_positions": [[0.500, 0.000, 0.000], [0.000, 0.500, 0.000], [0.000, 0.000, 0.500], [0.500, 0.500, 0.500], [0.000, 0.000, 0.000]], "space_group": "Pm-3m (221)", "ef_ev_per_fu": 4.9, "energy_ev_per_atom": -5.08, "relative_energy_mev_per_atom": 0}


# 4
{"formula": "ThCdNi2", "functional": "GGA-PBE", "state": "relaxed", "cell": [[-3.352, 0.044, 0.215], [-0.122, -3.111, -1.262], [0.357, -2.471, 6.054]], "species": ["Cd", "Th", "Ni", "Ni"], "fractional_positions": [[0.500, 0.500, 0.500], [0.500, 0.500, 0.000], [0.000, 0.000, 0.277], [0.000, 0.000, 0.723]], "space_group": "P4/mmm (123)", "ef_ev_per_fu": -0.5, "energy_ev_per_atom": -5.09}


# 5
{"formula": "AcDyPu2O8", "functional": "GGA-PBE", "state": "relaxed", "cell": [[5.507, 0.000, 0.000], [0.000, 5.507, 0.000], [-2.753, -2.753, 5.407]], "species": ["O", "O", "O", "O", "O", "O", "O", "O", "Dy", "Pu", "Pu", "Ac"], "fractional_positions": [[0.869, 0.402, 0.257], [0.388, 0.856, 0.257], [0.144, 0.612, 0.743], [0.144, 0.131, 0.743], [0.598, 0.612, 0.743], [0.388, 0.401, 0.257], [0.869, 0.856, 0.257], [0.599, 0.131, 0.743], [0.750, 0.250, 0.500], [0.250, 0.750, 0.500], [0.500, 0.500, 0.000], [0.000, 0.000, 0.000]], "space_group": "I-4m2 (119)", "e_form_raw_mev_per_atom": -3068, "energy_ev_per_atom": -9.49}


# 6
{"formula": "HfTiTe2", "functional": "GGA-PBE", "state": "relaxed", "cell": [[6.424, 0.000, 0.000], [0.000, 6.424, 0.000], [3.212, 3.212, 6.328]], "species": ["Te", "Te", "Te", "Te", "Hf", "Hf", "Ti", "Ti"], "fractional_positions": [[0.375, 0.383, 0.750], [0.133, 0.625, 0.250], [0.617, 0.125, 0.250], [0.875, 0.867, 0.750], [0.000, 0.000, 0.000], [0.750, 0.250, 0.500], [0.500, 0.500, 0.000], [0.250, 0.750, 0.500]], "space_group": "I-42d (122)", "e_form_raw_mev_per_atom": 14, "energy_ev_per_atom": -6.02, "relative_energy_mev_per_atom": 488}